Computed, not measured: an optimized crystal structure of Sm2MgRu2 at the PBE level of DFT.

abc: 10.1519 5.5392 8.2500
angles: 90.00 106.74 90.00
Last column: nearest neighbours and their distance in Å.
Space group C2/c (No. 15)
Unique sites:
Sm (0.1455, 0.1592, 0.1459) (multiplicity 8)  5 Ru 2.96-3.17, 1 Mg 3.26
Mg (0.0000, 0.3632, 0.7500) (multiplicity 4)  4 Ru 2.75-2.76
Ru (0.1394, 0.3365, 0.5096) (multiplicity 8)  1 Ru 2.49, 2 Mg 2.75-2.76

**Calculated formation energy**: -18.90 kJ/mol of atoms

Computed, not measured: an optimized crystal structure of Sm5MgRu4 at the PBE level of DFT.

abc: 3.4768 3.4768 18.7657
angles: 90.00 90.00 90.00
Last column: nearest neighbours and their distance in Å.
Space group P4/mmm (No. 123)
Unique sites:
Sm (0.0000, 0.0000, 0.0000) (multiplicity 1)  8 Ru 3.02
Sm (0.0000, 0.0000, 0.1841) (multiplicity 2)  8 Ru 2.99-3.08
Sm (0.0000, 0.0000, 0.3684) (multiplicity 2)  4 Ru 2.93
Mg (0.5000, 0.5000, 0.5000) (multiplicity 1)  4 Mg 3.48, 8 Sm 3.48
Ru (0.5000, 0.5000, 0.0933) (multiplicity 2)  8 Sm 2.99-3.02
Ru (0.5000, 0.5000, 0.2831) (multiplicity 2)  8 Sm 2.93-3.08

**Calculated formation energy**: -18.10 kJ/mol of atoms

Computed, not measured: an optimized crystal structure of Sm6MgRu2 at the PBE level of DFT.

abc: 10.3323 5.1830 9.3818
angles: 90.00 102.06 90.00
Last column: nearest neighbours and their distance in Å.
Space group C2/m (No. 12)
Unique sites:
Sm (0.0385, 0.0000, 0.3484) (multiplicity 4)  4 Sm 3.11-3.37, 4 Ru 3.13-3.45, 1 Mg 3.21
Sm (0.1595, 0.5000, 0.8800) (multiplicity 4)  1 Ru 2.61
Sm (0.2105, 0.5000, 0.3360) (multiplicity 4)  3 Ru 2.83-3.16, 2 Sm 3.16
Mg (0.0000, 0.0000, 0.0000) (multiplicity 2)  8 Sm 3.21-3.46
Ru (0.1126, 0.5000, 0.5955) (multiplicity 4)  2 Sm 2.61-2.83, 1 Ru 2.62

**Calculated formation energy**: -10.38 kJ/mol of atoms

Computed, not measured: an optimized crystal structure of Sm8MgRu2 at the PBE level of DFT.

abc: 12.0660 8.6631 8.1575
angles: 90.00 124.38 90.00
Last column: nearest neighbours and their distance in Å.
Space group C2/m (No. 12)
Unique sites:
Sm (0.0899, 0.1995, 0.2911) (multiplicity 8)  2 Ru 2.78-3.01
Sm (0.1447, 0.5000, 0.7358) (multiplicity 4)  1 Ru 2.76
Sm (0.1816, 0.0000, 0.7386) (multiplicity 4)  1 Ru 2.72
Mg (0.0000, 0.5000, 0.0000) (multiplicity 2)  2 Ru 2.85, 2 Sm 3.17
Ru (0.1739, 0.5000, 0.4234) (multiplicity 4)  6 Sm 2.72-3.01, 1 Mg 2.85

**Calculated formation energy**: -4.04 kJ/mol of atoms

Computed, not measured: an optimized crystal structure of Sm2MgRu at the PBE level of DFT.

abc: 3.4948 3.4948 8.3206
angles: 90.00 90.00 90.00
Last column: nearest neighbours and their distance in Å.
Space group P4/mmm (No. 123)
Unique sites:
Sm (0.0000, 0.0000, 0.2040) (multiplicity 2)  4 Ru 3.00
Mg (0.5000, 0.5000, 0.5000) (multiplicity 1)  8 Sm 3.49, 4 Mg 3.49
Ru (0.5000, 0.5000, 0.0000) (multiplicity 1)  8 Sm 3.00

**Relative energy among the computed polymorphs**: 10 meV per atom
**Calculated formation energy**: -17.95 kJ/mol of atoms

Computed, not measured: an optimized crystal structure of SmTmMgRu at the PBE level of DFT.

abc: 7.1270 7.1270 7.1270
angles: 90.00 90.00 90.00
Last column: nearest neighbours and their distance in Å.
Space group F-43m (No. 216)
Unique sites:
Sm (0.0000, 0.0000, 0.0000) (multiplicity 4)  4 Ru 3.09, 4 Mg 3.09
Tm (0.0000, 0.0000, 0.5000) (multiplicity 4)  4 Ru 3.09, 4 Mg 3.09
Mg (0.2500, 0.2500, 0.2500) (multiplicity 4)  4 Tm 3.09, 4 Sm 3.09
Ru (0.2500, 0.2500, 0.7500) (multiplicity 4)  4 Tm 3.09, 4 Sm 3.09

**Relative energy among the computed polymorphs**: 97 meV per atom
**Calculated formation energy**: -16.29 kJ/mol of atoms

Computed, not measured: an optimized crystal structure of SmTmMgRu at the PBE level of DFT.

abc: 3.4154 3.4154 8.4450
angles: 90.00 90.00 90.00
Last column: nearest neighbours and their distance in Å.
Space group P4mm (No. 99)
Unique sites:
Sm (0.0000, 0.0000, 0.0000) (multiplicity 1)  4 Ru 2.98, 1 Tm 3.33
Tm (0.0000, 0.0000, 0.6057) (multiplicity 1)  4 Ru 2.88
Mg (0.5000, 0.5000, 0.3109) (multiplicity 1)  4 Mg 3.42, 4 Tm 3.47, 4 Sm 3.57
Ru (0.5000, 0.5000, 0.7924) (multiplicity 1)  4 Tm 2.88, 4 Sm 2.98

**Relative energy among the computed polymorphs**: 0 meV per atom
**Calculated formation energy**: -25.60 kJ/mol of atoms

Computed, not measured: an optimized crystal structure of Sm2MgURu2 at the PBE level of DFT.

abc: 6.2514 14.4748 6.2503
angles: 90.00 90.00 90.00
Last column: nearest neighbours and their distance in Å.
Space group Ibam (No. 72)
Unique sites:
Sm (0.2152, 0.1803, 0.0000) (multiplicity 8)  4 Ru 3.01-3.32, 2 Mg 3.33
Mg (0.0000, 0.0000, 0.2500) (multiplicity 4)  4 Ru 2.95, 2 Mg 3.13, 2 U 3.13
U (0.0000, 0.5000, 0.2500) (multiplicity 4)  4 Ru 2.57
Ru (0.1962, 0.3878, 0.0000) (multiplicity 8)  2 U 2.57

**Calculated formation energy**: -18.01 kJ/mol of atoms

Computed, not measured: an optimized crystal structure of SmMgZnRu at the PBE level of DFT.

abc: 6.7900 6.7900 6.7900
angles: 90.00 90.00 90.00
Last column: nearest neighbours and their distance in Å.
Space group F-43m (No. 216)
Unique sites:
Sm (0.0000, 0.0000, 0.0000) (multiplicity 4)  4 Ru 2.94, 4 Zn 2.94
Mg (0.0000, 0.0000, 0.5000) (multiplicity 4)  4 Zn 2.94, 4 Ru 2.94
Zn (0.2500, 0.2500, 0.7500) (multiplicity 4)  4 Mg 2.94, 4 Sm 2.94
Ru (0.2500, 0.2500, 0.2500) (multiplicity 4)  4 Mg 2.94, 4 Sm 2.94

**Calculated formation energy**: -8.53 kJ/mol of atoms

Computed, not measured: an optimized crystal structure of Mg4Sn2Ru at the PBE level of DFT.

abc: 4.8939 4.8939 14.8130
angles: 90.00 90.00 90.00
Last column: nearest neighbours and their distance in Å.
Space group I4/mmm (No. 139)
Unique sites:
Mg (0.0000, 0.0000, 0.1748) (multiplicity 4)  1 Ru 2.59
Mg (0.0000, 0.5000, 0.0000) (multiplicity 4)  2 Ru 2.45
Sn (0.0000, 0.0000, 0.3727) (multiplicity 4)  5 Mg 2.93-3.09
Ru (0.0000, 0.0000, 0.0000) (multiplicity 2)  6 Mg 2.45-2.59

**Calculated formation energy**: 23.36 kJ/mol of atoms

Computed, not measured: an optimized crystal structure of MgSn2Ru2 at the PBE level of DFT.

abc: 4.2819 4.2819 11.3166
angles: 90.00 90.00 90.00
Last column: nearest neighbours and their distance in Å.
Space group I4/mmm (No. 139)
Unique sites:
Mg (0.0000, 0.0000, 0.0000) (multiplicity 2)  8 Ru 3.27, 8 Sn 3.55
Sn (0.0000, 0.5000, 0.2500) (multiplicity 4)  4 Ru 2.68
Ru (0.0000, 0.0000, 0.3918) (multiplicity 4)  1 Ru 2.45, 4 Sn 2.68

**Relative energy among the computed polymorphs**: 306 meV per atom
**Calculated formation energy**: 14.15 kJ/mol of atoms

Computed, not measured: an optimized crystal structure of MgSn2Ru2 at the PBE level of DFT.

abc: 7.5534 7.5534 3.2442
angles: 90.00 90.00 90.00
Last column: nearest neighbours and their distance in Å.
Space group P4/mbm (No. 127)
Unique sites:
Mg (0.0000, 0.0000, 0.0000) (multiplicity 2)  4 Ru 2.90, 2 Mg 3.24
Sn (0.1545, 0.3455, 0.5000) (multiplicity 4)  6 Ru 2.70-2.77
Ru (0.1432, 0.6432, 0.0000) (multiplicity 4)  6 Sn 2.70-2.77, 2 Mg 2.90

**Relative energy among the computed polymorphs**: 0 meV per atom
**Calculated formation energy**: -15.35 kJ/mol of atoms

N(E_F) readings, ordered: 5.3 5.7 9.4 12.5 3.9 3.7 3.5 7.4 3.7 5.3 4.5 2.3 states/eV/f.u.